CrGaSn3: single point on PBEsol structure, SCAN.

The space group is Pm-3m (No. 221) and the conventional cell measures 5.192, 5.192 and 5.192 Å, with angles of 90.00, 90.00 and 90.00 degrees. The asymmetric unit holds Cr at (0.000, 0.000, 0.000), Ga at (0.500, 0.500, 0.500) and Sn at (0.000, 0.500, 0.500).

The density of states at the Fermi level comes out at 3.0 states/eV/f.u. As for the crystal system: cubic. As for the formation energy: 347.2 kJ/mol of formula units. The calculation puts the total DFT energy (no corrections) at -138.90 eV for the cell shown. The calculation puts the calculated volume at 140 Å³/f.u.

=====

Sr3CrGa: single point on PBEsol structure, SCAN.

The space group is Pm-3m (No. 221) and the conventional cell measures 6.001, 6.001 and 6.001 Å, with angles of 90.00, 90.00 and 90.00 degrees. The asymmetric unit holds Sr at (0.000, 0.000, 0.500), Cr at (0.500, 0.500, 0.500) and Ga at (0.000, 0.000, 0.000).

The density of states at the Fermi level comes out at 3.8 states/eV/f.u. As for the crystal system: cubic. As for the formation energy: 135.7 kJ/mol of formula units. The calculation puts the total DFT energy (no corrections) at -100.15 eV for the cell shown. The calculation puts the calculated volume at 216 Å³/f.u.

=====

TaCrGa2: single point on PBEsol structure, SCAN.

The space group is Fm-3m (No. 225) and the conventional cell measures 6.168, 6.168 and 6.168 Å, with angles of 90.00, 90.00 and 90.00 degrees. The asymmetric unit holds Ta at (0.000, 0.000, 0.000), Cr at (0.000, 0.000, 0.500) and Ga at (0.250, 0.250, 0.250).

The density of states at the Fermi level comes out at 3.4 states/eV/f.u. As for the crystal system: cubic. As for the formation energy: 21.5 kJ/mol of formula units. The calculation puts the total DFT energy (no corrections) at -469.75 eV for the cell shown. The calculation puts the calculated volume at 59 Å³/f.u.

=====

Ta3CrGa: single point on PBEsol structure, SCAN.

The space group is Pm-3m (No. 221) and the conventional cell measures 4.543, 4.543 and 4.543 Å, with angles of 90.00, 90.00 and 90.00 degrees. The asymmetric unit holds Ta at (0.000, 0.000, 0.500), Cr at (0.000, 0.000, 0.000) and Ga at (0.500, 0.500, 0.500).

The density of states at the Fermi level comes out at 4.4 states/eV/f.u. As for the crystal system: cubic. As for the formation energy: 453.9 kJ/mol of formula units. The calculation puts the total DFT energy (no corrections) at -229.78 eV for the cell shown. The calculation puts the calculated volume at 94 Å³/f.u.

=====

CrGaTc: single point on PBEsol structure, SCAN.

The space group is I4mm (No. 107) and the conventional cell measures 2.980, 2.980 and 8.739 Å, with angles of 90.00, 90.00 and 90.00 degrees. The asymmetric unit holds Cr at (0.000, 0.000, 0.000), Ga at (0.000, 0.000, 0.669) and Tc at (0.000, 0.000, 0.352).

The density of states at the Fermi level comes out at 1.3 states/eV/f.u. As for the crystal system: tetragonal. As for the formation energy: -55.1 kJ/mol of formula units. The calculation puts the total DFT energy (no corrections) at -140.73 eV for the cell shown. The calculation puts the calculated volume at 39 Å³/f.u.

=====

CrGaTc3: single point on PBEsol structure, SCAN.

The space group is Pm-3m (No. 221) and the conventional cell measures 4.348, 4.348 and 4.348 Å, with angles of 90.00, 90.00 and 90.00 degrees. The asymmetric unit holds Cr at (0.000, 0.000, 0.000), Ga at (0.500, 0.500, 0.500) and Tc at (0.000, 0.000, 0.500).

The density of states at the Fermi level comes out at 4.4 states/eV/f.u. As for the crystal system: cubic. As for the formation energy: 580.1 kJ/mol of formula units. The calculation puts the total DFT energy (no corrections) at -133.90 eV for the cell shown. The calculation puts the calculated volume at 82 Å³/f.u.

=====

TlCrGa3: single point on PBEsol structure, SCAN.

The space group is Pm-3m (No. 221) and the conventional cell measures 5.229, 5.229 and 5.229 Å, with angles of 90.00, 90.00 and 90.00 degrees. The asymmetric unit holds Tl at (0.000, 0.000, 0.000), Cr at (0.500, 0.500, 0.500) and Ga at (0.000, 0.000, 0.500).

The density of states at the Fermi level comes out at 2.5 states/eV/f.u. As for the crystal system: cubic. As for the formation energy: 473.3 kJ/mol of formula units. The calculation puts the total DFT energy (no corrections) at -134.88 eV for the cell shown. The calculation puts the calculated volume at 143 Å³/f.u.

=====

Y2Cr2Ga: single point on PBEsol structure, SCAN.

The space group is I4/mmm (No. 139) and the conventional cell measures 4.532, 4.532 and 10.730 Å, with angles of 90.00, 90.00 and 90.00 degrees. The asymmetric unit holds Y at (0.000, 0.500, 0.250), Cr at (0.000, 0.000, 0.082) and Ga at (0.000, 0.000, 0.500).

The density of states at the Fermi level comes out at 6.5 states/eV/f.u. As for the crystal system: tetragonal. As for the formation energy: 462.4 kJ/mol of formula units. The calculation puts the total DFT energy (no corrections) at -208.02 eV for the cell shown. The calculation puts the calculated volume at 110 Å³/f.u.

=====

GdCrO3: single point on PBEsol structure, SCAN.

The space group is Pnma (No. 62) and the conventional cell measures 5.526, 7.555 and 5.268 Å, with angles of 90.00, 90.00 and 90.00 degrees. The asymmetric unit holds Gd at (0.064, 0.250, 0.017), Cr at (0.000, 0.000, 0.500), O at (0.030, 0.750, 0.401) and O at (0.201, 0.551, 0.803).

The density of states at the Fermi level comes out at 0.0 states/eV/f.u. As for the crystal system: orthorhombic. Its formation energy (no corrections) is -3222 meV/atom. The calculation puts the total DFT energy (no corrections) at -448.01 eV for the cell shown. The calculation puts the calculated volume at 55 Å³/f.u.

=====

GdCr2Si2: single point on PBEsol structure, SCAN.

The space group is I4/mmm (No. 139) and the conventional cell measures 3.809, 3.809 and 10.661 Å, with angles of 90.00, 90.00 and 90.00 degrees. The asymmetric unit holds Gd at (0.000, 0.000, 0.000), Cr at (0.000, 0.500, 0.250) and Si at (0.000, 0.000, 0.384).

The density of states at the Fermi level comes out at 3.8 states/eV/f.u. As for the crystal system: tetragonal. Its formation energy (no corrections) is -362 meV/atom. The calculation puts the total DFT energy (no corrections) at -234.86 eV for the cell shown. The calculation puts the calculated volume at 77 Å³/f.u.

=====

Cr5Ge3: single point on PBEsol structure, SCAN.

The space group is I4/mcm (No. 140) and the conventional cell measures 9.186, 9.186 and 4.635 Å, with angles of 90.00, 90.00 and 90.00 degrees. The asymmetric unit holds Cr at (0.000, 0.500, 0.250), Cr at (0.079, 0.235, 0.000), Ge at (0.000, 0.000, 0.250) and Ge at (0.167, 0.333, 0.500).

The density of states at the Fermi level comes out at 6.2 states/eV/f.u. As for the crystal system: tetragonal. As for the formation energy: -2.1 kJ/mol of formula units. The calculation puts the total DFT energy (no corrections) at -596.83 eV for the cell shown. The calculation puts the calculated volume at 98 Å³/f.u.

=====

Cr3Ge: single point on PBEsol structure, SCAN.

The space group is Pm-3n (No. 223) and the conventional cell measures 4.521, 4.521 and 4.521 Å, with angles of 90.00, 90.00 and 90.00 degrees. The asymmetric unit holds Cr at (0.000, 0.250, 0.500) and Ge at (0.000, 0.000, 0.000).

The density of states at the Fermi level comes out at 2.8 states/eV/f.u. As for the crystal system: cubic. As for the formation energy: -54.7 kJ/mol of formula units. The calculation puts the total DFT energy (no corrections) at -149.62 eV for the cell shown. The calculation puts the calculated volume at 46 Å³/f.u.

=====

Cr2GeH2: single point on PBEsol structure, SCAN.

The space group is I4/mmm (No. 139) and the conventional cell measures 2.907, 2.907 and 9.699 Å, with angles of 90.00, 90.00 and 90.00 degrees. The asymmetric unit holds Cr at (0.000, 0.000, 0.152), Ge at (0.000, 0.000, 0.500) and H at (0.000, 0.500, 0.250).

The density of states at the Fermi level comes out at 2.5 states/eV/f.u. As for the crystal system: tetragonal. The calculation puts the total DFT energy (no corrections) at -124.67 eV for the cell shown. The calculation puts the calculated volume at 41 Å³/f.u.

=====

CrGe2HRu: single point on PBEsol structure, SCAN.

The space group is P4/mmm (No. 123) and the conventional cell measures 4.635, 4.635 and 3.071 Å, with angles of 90.00, 90.00 and 90.00 degrees. The asymmetric unit holds Cr at (0.000, 0.000, 0.000), Ge at (0.000, 0.500, 0.000), H at (0.000, 0.000, 0.500) and Ru at (0.500, 0.500, 0.500).

The density of states at the Fermi level comes out at 2.9 states/eV/f.u. As for the crystal system: tetragonal. The calculation puts the total DFT energy (no corrections) at -92.25 eV for the cell shown. The calculation puts the calculated volume at 66 Å³/f.u.